[1]
Crystalline Ce3DyPt12 at its relaxed geometry. Source: the Alexandria database, functional GGA-PBE.

Properties
Crystal system: tetragonal
Formation energy from the elements (meV per atom): -1009
Total moment (μB per cell): 0.43
DOS(E_F) (states/eV per atom): 0.489

Cell: 4.1564 4.1564 16.6288 Å, 90.00 90.00 90.00°
Space group P4/mmm (No. 123)
One atom of each set of equivalent atoms:
Ce1 0.0000 0.0000 0.0000 [1 per cell]
Ce2 0.0000 0.0000 0.2523 [2 per cell]
Dy1 0.0000 0.0000 0.5000 [1 per cell]
Pt1 0.0000 0.5000 0.1257 [4 per cell]
Pt2 0.0000 0.5000 0.3751 [4 per cell]
Pt3 0.5000 0.5000 0.0000 [1 per cell]
Pt4 0.5000 0.5000 0.2510 [2 per cell]
Pt5 0.5000 0.5000 0.5000 [1 per cell]

---

[2]
Crystalline CeDy3Pt12 at its relaxed geometry. Source: the Alexandria database, functional GGA-PBE.

Properties
Crystal system: tetragonal
Formation energy from the elements (meV per atom): -1032
Total moment (μB per cell): 0.00
DOS(E_F) (states/eV per atom): 0.700

Cell: 4.1346 4.1346 16.5229 Å, 90.00 90.00 90.00°
Space group P4/mmm (No. 123)
One atom of each set of equivalent atoms:
Ce1 0.0000 0.0000 0.0000 [1 per cell]
Dy1 0.0000 0.0000 0.2524 [2 per cell]
Dy2 0.0000 0.0000 0.5000 [1 per cell]
Pt1 0.0000 0.5000 0.1255 [4 per cell]
Pt2 0.0000 0.5000 0.3759 [4 per cell]
Pt3 0.5000 0.5000 0.0000 [1 per cell]
Pt4 0.5000 0.5000 0.2512 [2 per cell]
Pt5 0.5000 0.5000 0.5000 [1 per cell]

---

[3]
Crystalline CeDyPt2 at its relaxed geometry. Source: the Alexandria database, functional GGA-PBE.

Properties
Crystal system: orthorhombic
Formation energy from the elements (meV per atom): -1199
Total moment (μB per cell): 1.01
DOS(E_F) (states/eV per atom): 1.492

Cell: 4.5069 3.7738 10.7319 Å, 90.00 90.00 90.00°
Space group Amm2 (No. 38)
One atom of each set of equivalent atoms:
Ce1 0.0000 0.0000 0.0000 [2 per cell]
Dy1 0.5000 0.0000 0.7263 [2 per cell]
Pt1 0.0000 0.0000 0.2724 [2 per cell]
Pt2 0.5000 0.0000 0.4561 [2 per cell]

---

[4]
Crystalline CeDy2Pt at its relaxed geometry. Source: the Alexandria database, functional GGA-PBE.

Properties
ΔE to the lowest computed polymorph (meV per atom): 234
Crystal system: cubic
Formation energy from the elements (meV per atom): -324
Total moment (μB per cell): 0.01
DOS(E_F) (states/eV per atom): 1.969

Cell: 7.1888 7.1888 7.1888 Å, 90.00 90.00 90.00°
Space group Fm-3m (No. 225)
One atom of each set of equivalent atoms:
Ce1 0.0000 0.0000 0.0000 [4 per cell]
Dy1 0.2500 0.2500 0.2500 [8 per cell]
Pt1 0.0000 0.0000 0.5000 [4 per cell]

---

[5]
Crystalline Ce3DyPt8 at its relaxed geometry. Source: the Alexandria database, functional GGA-PBE.

Properties
Crystal system: trigonal
Formation energy from the elements (meV per atom): -1048
Total moment (μB per cell): 6.73
DOS(E_F) (states/eV per atom): 1.421

Cell: 5.4761 5.4761 26.8254 Å, 90.00 90.00 120.00°
Space group R3m (No. 160, hexagonal axes)
One atom of each set of equivalent atoms:
Ce1 0.0000 0.0000 0.0000 [3 per cell]
Ce2 0.0000 0.0000 0.1252 [3 per cell]
Ce3 0.0000 0.0000 0.4972 [3 per cell]
Dy1 0.0000 0.0000 0.6223 [3 per cell]
Pt1 0.0000 0.0000 0.3112 [3 per cell]
Pt2 0.0000 0.0000 0.8112 [3 per cell]
Pt3 0.0008 0.5004 0.5620 [9 per cell]
Pt4 0.1674 0.3348 0.3938 [9 per cell]

---

[6]
Crystalline Ce2DyPt9 at its relaxed geometry. Source: the Alexandria database, functional GGA-PBE.

Properties
ΔE to the lowest computed polymorph (meV per atom): 114
Crystal system: trigonal
Formation energy from the elements (meV per atom): -903
Total moment (μB per cell): 2.95
DOS(E_F) (states/eV per atom): 1.208

Cell: 5.4131 5.4131 26.9176 Å, 90.00 90.00 120.00°
Space group R-3m (No. 166, hexagonal axes)
One atom of each set of equivalent atoms:
Ce1 0.0000 0.0000 0.1388 [6 per cell]
Dy1 0.0000 0.0000 0.0000 [3 per cell]
Pt1 0.0000 0.0000 0.3328 [6 per cell]
Pt2 0.0000 0.0000 0.5000 [3 per cell]
Pt3 0.0032 0.5016 0.9153 [18 per cell]

---

[7]
Crystalline Ce2Dy2Pt3 at its relaxed geometry. Source: the Alexandria database, functional GGA-PBE.

Properties
Crystal system: cubic
Formation energy from the elements (meV per atom): -1020
Total moment (μB per cell): 7.81
DOS(E_F) (states/eV per atom): 1.933

Cell: 8.8035 8.8035 8.8035 Å, 90.00 90.00 90.00°
Space group I2_13 (No. 199)
One atom of each set of equivalent atoms:
Ce1 0.1891 0.1891 0.1891 [8 per cell]
Dy1 0.0628 0.4372 0.5628 [8 per cell]
Pt1 0.0000 0.2500 0.8674 [12 per cell]

---

[8]
Crystalline CeDyPt6 at its relaxed geometry. Source: the Alexandria database, functional GGA-PBE.

Properties
Crystal system: tetragonal
Formation energy from the elements (meV per atom): -1031
Total moment (μB per cell): 0.00
DOS(E_F) (states/eV per atom): 0.391

Cell: 4.1458 4.1458 8.2794 Å, 90.00 90.00 90.00°
Space group P4/mmm (No. 123)
One atom of each set of equivalent atoms:
Ce1 0.0000 0.0000 0.0000 [1 per cell]
Dy1 0.0000 0.0000 0.5000 [1 per cell]
Pt1 0.0000 0.5000 0.2490 [4 per cell]
Pt2 0.5000 0.5000 0.0000 [1 per cell]
Pt3 0.5000 0.5000 0.5000 [1 per cell]

---

[9]
Crystalline CeDy2Pt at its relaxed geometry. Source: the Alexandria database, functional GGA-PBE.

Properties
ΔE to the lowest computed polymorph (meV per atom): 0
Crystal system: tetragonal
Formation energy from the elements (meV per atom): -558
Total moment (μB per cell): 1.12
DOS(E_F) (states/eV per atom): 1.728

Cell: 3.5281 3.5281 8.4773 Å, 90.00 90.00 90.00°
Space group P4/mmm (No. 123)
One atom of each set of equivalent atoms:
Ce1 0.0000 0.0000 0.0000 [1 per cell]
Dy1 0.5000 0.5000 0.3044 [2 per cell]
Pt1 0.0000 0.0000 0.5000 [1 per cell]

---

[10]
Crystalline CeDyRuPt at its relaxed geometry. Source: the Alexandria database, functional GGA-PBE.

Properties
Crystal system: cubic
Formation energy from the elements (meV per atom): -693
Total moment (μB per cell): 1.44
DOS(E_F) (states/eV per atom): 1.185

Cell: 6.9634 6.9634 6.9634 Å, 90.00 90.00 90.00°
Space group F-43m (No. 216)
One atom of each set of equivalent atoms:
Ce1 0.0000 0.0000 0.0000 [4 per cell]
Dy1 0.0000 0.0000 0.5000 [4 per cell]
Ru1 0.2500 0.2500 0.2500 [4 per cell]
Pt1 0.2500 0.2500 0.7500 [4 per cell]

---

[11]
Crystalline CeDySiPt at its relaxed geometry. Source: the Alexandria database, functional GGA-PBE.

Properties
Formation energy without anion corrections (meV/atom): -593
Crystal system: tetragonal
Total moment (μB per cell): 1.79
DOS(E_F) (states/eV per atom): 2.247

Cell: 4.5391 4.5391 10.3212 Å, 90.00 90.00 90.00°
Space group P4/nmm (No. 129, origin choice 2)
One atom of each set of equivalent atoms:
Ce1 0.2500 0.2500 0.1591 [2 per cell]
Dy1 0.2500 0.7500 0.5000 [2 per cell]
Si1 0.2500 0.2500 0.8870 [2 per cell]
Pt1 0.2500 0.2500 0.6620 [2 per cell]

---

[12]
Crystalline Ce2Dy2Si4Pt at its relaxed geometry. Source: the Alexandria database, functional GGA-PBE.

Properties
Formation energy without anion corrections (meV/atom): -386
Crystal system: tetragonal
Total moment (μB per cell): 1.49
DOS(E_F) (states/eV per atom): 1.065

Cell: 7.0692 7.0692 8.2310 Å, 90.00 90.00 90.00°
Space group I4/mmm (No. 139)
One atom of each set of equivalent atoms:
Ce1 0.0000 0.0000 0.1613 [4 per cell]
Dy1 0.0000 0.5000 0.2500 [4 per cell]
Si1 0.2413 0.2413 0.5000 [8 per cell]
Pt1 0.0000 0.0000 0.5000 [2 per cell]